1.
DFT (PBE-GGA) results for LaIn2SnRu after structural relaxation.

Properties
Its space group is P4/mmm. As for the total energy: -19.26 eV per cell. The formation energy is 4.43 eV/f.u. The density of states at the Fermi level comes out at 4.9 states/eV per cell.

a b c (Å): 6.126 4.709 6.126
angles (deg): 90.00 90.00 90.00
Element x y z (fractional)
La: 0.000 0.000 0.000
Ru: 0.000 0.500 0.000
Sn: 0.500 0.500 0.500
In: 0.000 0.000 0.500
In: 0.500 0.000 0.000

***

2.
DFT (PBE-GGA) results for La3TbInRu after structural relaxation.

Properties
Its space group is C2/m. As for the total energy: -67.10 eV per cell. The formation energy is -2.12 eV/f.u. The density of states at the Fermi level comes out at 10.4 states/eV per cell.

a b c (Å): 9.123 9.123 6.169
angles (deg): 109.67 109.67 48.45
Element x y z (fractional)
La: 0.135 0.630 0.884
La: 0.865 0.370 0.116
Ru: 0.000 0.000 0.243
La: 0.180 0.180 0.679
La: 0.370 0.865 0.116
Tb: 0.704 0.296 0.500
Ru: 0.000 0.000 0.757
In: 0.693 0.693 0.693
La: 0.820 0.820 0.321
In: 0.307 0.307 0.307
Tb: 0.296 0.704 0.500
La: 0.630 0.135 0.884